Li3V2O4F2: relaxed, PBE+U.

a = 5.079 Å, b = 5.239 Å, c = 15.217 Å
α = 86.73°, β = 93.64°, γ = 60.97°
Site moments in Bohr magnetons follow the coordinates.
Element x y z (fractional)
O 0.601 0.254 0.768  -0.03
Li 0.456 0.705 0.363  0.00
O 0.731 0.096 0.232  -0.03
V 0.293 0.557 0.834  1.11
O 0.326 0.187 0.907  -0.03
F 0.497 0.642 0.578  0.00
F 0.149 0.992 0.422  0.00
O 0.627 0.527 0.908  -0.04
V 0.039 0.781 0.164  1.59
Li 0.840 0.346 0.502  0.00
F 0.214 0.282 0.574  0.00
Li 0.544 0.295 0.637  0.00
O 0.674 0.813 0.093  -0.03
O 0.953 0.572 0.775  -0.05
F 0.851 0.008 0.578  0.00
F 0.503 0.358 0.422  0.00
O 0.011 0.125 0.093  -0.02
Li 0.214 0.950 0.636  0.00
O 0.373 0.473 0.092  -0.04
V 0.707 0.443 0.166  1.11
Li 0.160 0.654 0.498  0.00
O 0.399 0.746 0.232  -0.03
O 0.269 0.904 0.768  -0.03
Li 0.500 0.000 0.500  0.00
O 0.047 0.428 0.225  -0.05
O 0.989 0.875 0.907  -0.02
V 0.374 0.111 0.164  1.79
Li 0.786 0.050 0.364  0.00
Li 0.338 0.823 0.000  0.00
V 0.626 0.889 0.836  1.79
Li 0.662 0.177 0.000  0.00
V 0.961 0.219 0.836  1.59
F 0.786 0.718 0.426  0.00

Computed properties:
Polymorph energy (0 for the lowest one) ... 8 kJ/mol of formula units
Size of the total moment ... 3.00 μB/f.u.
N(E_F) ... 0.1356 states/eV/atom